(1)
{
  "formula": "CaOsRh2",
  "functional": "GGA-PBEsol",
  "state": "relaxed",
  "crystal_system": "tetragonal",
  "space_group": "P4/mmm (123)",
  "delta_e_f_kj_per_mol_atoms": 5.9,
  "relative_energy_ev_per_atom": 0.000,
  "cell": [[-0.471, -0.300, 2.756], [-2.721, -0.486, -0.518], [1.515, -7.850, -0.596]],
  "species": ["Os", "Ca", "Rh", "Rh"],
  "frac_coords": [[0.500, 0.500, 0.500], [0.500, 0.500, 0.000], [0.000, 0.000, 0.285], [0.000, 0.000, 0.715]]
}


(2)
{
  "formula": "CaOsRh2",
  "functional": "GGA-PBEsol",
  "state": "relaxed",
  "crystal_system": "cubic",
  "space_group": "F-43m (216)",
  "delta_e_f_kj_per_mol_atoms": 49.7,
  "relative_energy_ev_per_atom": 0.455,
  "cell": [[-3.725, -0.938, 2.241], [-1.078, -4.229, 0.850], [0.239, -1.564, 4.156]],
  "species": ["Rh", "Rh", "Ca", "Os"],
  "frac_coords": [[0.250, 0.250, 0.250], [0.000, 0.000, 0.000], [0.500, 0.500, 0.500], [0.750, 0.750, 0.750]]
}


(3)
{
  "formula": "Ca2OsRh",
  "functional": "GGA-PBEsol",
  "state": "relaxed",
  "crystal_system": "cubic",
  "space_group": "Fm-3m (225)",
  "delta_e_f_kj_per_mol_atoms": 47.1,
  "relative_energy_ev_per_atom": 0.022,
  "cell": [[4.745, 0.000, 0.000], [2.373, 4.110, 0.000], [2.373, 1.370, 3.875]],
  "species": ["Os", "Rh", "Ca", "Ca"],
  "frac_coords": [[0.000, 0.000, 0.000], [0.500, 0.500, 0.500], [0.250, 0.250, 0.250], [0.750, 0.750, 0.750]]
}


(4)
{
  "formula": "CaOsRu2",
  "functional": "GGA-PBEsol",
  "state": "relaxed",
  "crystal_system": "cubic",
  "space_group": "F-43m (216)",
  "delta_e_f_kj_per_mol_atoms": 72.3,
  "relative_energy_ev_per_atom": 0.122,
  "cell": [[4.435, 0.000, 0.000], [2.218, 3.841, 0.000], [2.218, 1.280, 3.621]],
  "species": ["Os", "Ca", "Ru", "Ru"],
  "frac_coords": [[0.750, 0.750, 0.750], [0.500, 0.500, 0.500], [0.250, 0.250, 0.250], [0.000, 0.000, 0.000]]
}


(5)
{
  "formula": "CaOsRu2",
  "functional": "GGA-PBEsol",
  "state": "relaxed",
  "crystal_system": "tetragonal",
  "space_group": "I4/mmm (139)",
  "delta_e_f_kj_per_mol_atoms": 60.5,
  "relative_energy_ev_per_atom": 0.000,
  "cell": [[-0.863, 0.381, -4.327], [-2.791, -2.205, 2.629], [-3.975, 1.710, 0.944]],
  "species": ["Ru", "Ru", "Ca", "Os"],
  "frac_coords": [[0.750, 0.500, 0.750], [0.250, 0.500, 0.250], [0.500, 0.000, 0.500], [0.000, 0.000, 0.000]]
}


(6)
{
  "formula": "CaTi2OsS",
  "functional": "GGA-PBEsol",
  "state": "relaxed",
  "crystal_system": "tetragonal",
  "space_group": "P4/mmm (123)",
  "e_form_raw_ev_per_fu": 10.85,
  "cell": [[-3.209, 0.469, -3.109], [-2.077, -3.835, 1.564], [-2.491, 2.554, 2.956]],
  "species": ["Ca", "Ti", "Ti", "S", "Os"],
  "frac_coords": [[0.000, 0.000, 0.000], [0.000, 0.500, 0.000], [0.000, 0.000, 0.500], [0.500, 0.500, 0.500], [0.500, 0.000, 0.000]]
}


(7)
{
  "formula": "CaSb2Os",
  "functional": "GGA-PBEsol",
  "state": "relaxed",
  "crystal_system": "orthorhombic",
  "space_group": "Immm (71)",
  "e_form_raw_ev_per_fu": -0.09,
  "relative_energy_ev_per_atom": 0.029,
  "cell": [[3.243, 0.000, 0.000], [0.000, 5.237, 0.000], [-1.621, -2.619, 5.666]],
  "species": ["Sb", "Sb", "Ca", "Os"],
  "frac_coords": [[0.185, 0.185, 0.370], [0.815, 0.815, 0.630], [0.000, 0.500, 0.000], [0.500, 0.000, 0.000]]
}


(8)
{
  "formula": "CaSbOs",
  "functional": "GGA-PBEsol",
  "state": "relaxed",
  "crystal_system": "cubic",
  "space_group": "F-43m (216)",
  "e_form_raw_ev_per_fu": 1.29,
  "cell": [[-1.078, -4.362, 0.923], [3.319, -3.128, 0.493], [0.898, -1.758, 4.141]],
  "species": ["Ca", "Os", "Sb"],
  "frac_coords": [[0.000, 0.000, 0.000], [0.500, 0.500, 0.500], [0.250, 0.250, 0.250]]
}


(9)
{
  "formula": "CaSb2Os",
  "functional": "GGA-PBEsol",
  "state": "relaxed",
  "crystal_system": "orthorhombic",
  "space_group": "Imm2 (44)",
  "e_form_raw_ev_per_fu": -0.21,
  "relative_energy_ev_per_atom": 0.000,
  "cell": [[3.375, 0.000, 0.000], [0.000, 3.707, 0.000], [-1.687, -1.854, 7.441]],
  "species": ["Sb", "Sb", "Ca", "Os"],
  "frac_coords": [[0.224, 0.724, 0.448], [0.925, 0.925, 0.851], [0.551, 0.551, 0.102], [0.800, 0.300, 0.599]]
}


(10)
{
  "formula": "CaSbTe2Os",
  "functional": "GGA-PBEsol",
  "state": "relaxed",
  "crystal_system": "tetragonal",
  "space_group": "P4/mmm (123)",
  "e_form_raw_ev_per_fu": 8.40,
  "cell": [[-5.296, -0.378, 1.445], [1.470, -2.255, 4.799], [0.267, 5.089, 2.309]],
  "species": ["Os", "Te", "Te", "Sb", "Ca"],
  "frac_coords": [[0.500, 0.500, 0.500], [0.000, 0.500, 0.000], [0.500, 0.000, 0.000], [0.000, 0.000, 0.500], [0.000, 0.000, 0.000]]
}


(11)
{
  "formula": "Ca2SbTeOs",
  "functional": "GGA-PBEsol",
  "state": "relaxed",
  "crystal_system": "tetragonal",
  "space_group": "P4/mmm (123)",
  "e_form_raw_ev_per_fu": 5.65,
  "cell": [[-1.184, -4.584, 3.009], [2.541, -3.263, -3.971], [4.995, 0.525, 2.765]],
  "species": ["Te", "Sb", "Ca", "Ca", "Os"],
  "frac_coords": [[0.500, 0.000, 0.000], [0.000, 0.000, 0.000], [0.000, 0.000, 0.500], [0.000, 0.500, 0.000], [0.500, 0.500, 0.500]]
}


(12)
{
  "formula": "CaScOs",
  "functional": "GGA-PBEsol",
  "state": "relaxed",
  "crystal_system": "tetragonal",
  "space_group": "I4mm (107)",
  "delta_e_f_kj_per_mol_atoms": 0.0,
  "cell": [[3.288, 0.000, 0.000], [0.000, 3.288, 0.000], [-1.644, -1.644, 6.126]],
  "species": ["Ca", "Sc", "Os"],
  "frac_coords": [[0.030, 0.030, 0.060], [0.288, 0.288, 0.577], [0.682, 0.682, 0.364]]
}


| no. | total energy (eV/atom) |
| --- | --- |
| 1 | -7.596 |
| 2 | -7.141 |
| 3 | -5.667 |
| 4 | -7.924 |
| 5 | -8.046 |
| 6 | -4.905 |
| 7 | -5.889 |
| 8 | -5.871 |
| 9 | -5.918 |
| 10 | -3.512 |
| 11 | -3.784 |
| 12 | -6.985 |